(1)
The following is a DFT calculation (PBE-GGA) of crystalline CsMgSc2V at its relaxed geometry.

Calculated values
As for the symmetry: P4/mmm, No. 123. The energy of formation comes out at 0.733 eV/atom. The spin magnetization comes out at 0.0 μB per formula unit. The total energy is -4.113 eV per atom.

Cell lengths 5.086, 5.756, 5.086 Å; angles 90.00, 90.00, 90.00 degrees
Sites, in units of the cell vectors:
Cs 0.500 0.500 0.500
Sc 0.000 0.000 0.500
Sc 0.500 0.000 0.000
Mg 0.000 0.500 0.000
V 0.000 0.000 0.000

---

(2)
The following is a DFT calculation (PBE-GGA) of crystalline CsMg2ScV at its relaxed geometry.

Calculated values
As for the symmetry: P4/mmm, No. 123. The energy of formation comes out at 1.762 eV/atom. The spin magnetization comes out at 0.9 μB per formula unit. The total energy is -2.136 eV per atom.

Cell lengths 5.573, 5.688, 5.573 Å; angles 90.00, 90.00, 90.00 degrees
Sites, in units of the cell vectors:
Cs 0.000 0.500 0.000
Sc 0.000 0.000 0.000
Mg 0.000 0.000 0.500
Mg 0.500 0.000 0.000
V 0.500 0.500 0.500

---

(3)
The following is a DFT calculation (PBE-GGA) of crystalline Cs6MgSe4 at its relaxed geometry.

Calculated values
As for the symmetry: P6_3mc, No. 186. The spin magnetization comes out at 0.0 μB per formula unit. The total energy is -3.043 eV per atom. The energy relative to the elements, uncorrected comes out at -1.165 eV per atom.

Cell lengths 8.838, 11.176, 11.176 Å; angles 120.00, 90.00, 90.00 degrees
Sites, in units of the cell vectors:
Cs 0.458 0.707 0.854
Cs 0.458 0.146 0.293
Cs 0.458 0.146 0.854
Cs 0.958 0.293 0.146
Cs 0.958 0.854 0.707
Cs 0.958 0.854 0.146
Cs 0.636 0.938 0.469
Cs 0.636 0.531 0.062
Cs 0.636 0.531 0.469
Cs 0.136 0.062 0.531
Cs 0.136 0.469 0.938
Cs 0.136 0.469 0.531
Mg 0.745 0.333 0.667
Mg 0.245 0.667 0.333
Se 0.443 0.333 0.667
Se 0.943 0.667 0.333
Se 0.841 0.597 0.798
Se 0.841 0.202 0.403
Se 0.841 0.202 0.798
Se 0.341 0.403 0.202
Se 0.341 0.798 0.597
Se 0.341 0.798 0.202

---

(4)
The following is a DFT calculation (PBE-GGA) of crystalline CsMg3Se at its relaxed geometry.

Calculated values
As for the symmetry: Pm-3m, No. 221. The spin magnetization comes out at 1.0 μB per formula unit. The total energy is -0.651 eV per atom. The energy relative to the elements, uncorrected comes out at 1.173 eV per atom.

Cell lengths 6.623, 6.623, 6.623 Å; angles 90.00, 90.00, 90.00 degrees
Sites, in units of the cell vectors:
Cs 0.000 0.000 0.000
Mg 0.000 0.500 0.000
Mg 0.000 0.000 0.500
Mg 0.500 0.000 0.000
Se 0.500 0.500 0.500

---

(5)
The following is a DFT calculation (PBE-GGA) of crystalline Cs3MgSe at its relaxed geometry.

Calculated values
As for the symmetry: Pm-3m, No. 221. The spin magnetization comes out at 0.0 μB per formula unit. The total energy is -1.420 eV per atom. The energy relative to the elements, uncorrected comes out at 0.108 eV per atom.

Cell lengths 6.912, 6.912, 6.912 Å; angles 90.00, 90.00, 90.00 degrees
Sites, in units of the cell vectors:
Cs 0.000 0.500 0.000
Cs 0.000 0.000 0.500
Cs 0.500 0.000 0.000
Mg 0.000 0.000 0.000
Se 0.500 0.500 0.500

---

(6)
The following is a DFT calculation (PBE-GGA) of crystalline CsMg3Se at its relaxed geometry.

Calculated values
As for the symmetry: Pm-3m, No. 221. The spin magnetization comes out at 0.0 μB per formula unit. The total energy is -1.667 eV per atom. The energy relative to the elements, uncorrected comes out at 0.157 eV per atom.

Cell lengths 5.678, 5.678, 5.678 Å; angles 90.00, 90.00, 90.00 degrees
Sites, in units of the cell vectors:
Cs 0.500 0.500 0.500
Mg 0.000 0.500 0.000
Mg 0.000 0.000 0.500
Mg 0.500 0.000 0.000
Se 0.000 0.000 0.000

---

(7)
The following is a DFT calculation (PBE-GGA) of crystalline Cs2MgSiSe at its relaxed geometry.

Calculated values
As for the symmetry: P4/mmm, No. 123. The spin magnetization comes out at 2.1 μB per formula unit. The total energy is -2.251 eV per atom. The energy relative to the elements, uncorrected comes out at 0.191 eV per atom.

Cell lengths 7.344, 4.926, 7.344 Å; angles 90.00, 90.00, 90.00 degrees
Sites, in units of the cell vectors:
Cs 0.000 0.000 0.500
Cs 0.500 0.000 0.000
Si 0.500 0.500 0.500
Mg 0.000 0.000 0.000
Se 0.000 0.500 0.000

---

(8)
The following is a DFT calculation (PBE-GGA) of crystalline Cs3Sm2MgSe6 at its relaxed geometry.

Calculated values
As for the symmetry: C2/m, No. 12. The spin magnetization comes out at 0.0 μB per formula unit. The total energy is -4.299 eV per atom. The energy relative to the elements, uncorrected comes out at -1.424 eV per atom.

Cell lengths 7.425, 7.425, 8.748 Å; angles 98.17, 98.17, 120.03 degrees
Sites, in units of the cell vectors:
Cs 0.168 0.832 0.500
Cs 0.832 0.168 0.500
Cs 0.500 0.500 0.500
Sm 0.334 0.666 0.000
Sm 0.666 0.334 0.000
Mg 0.000 0.000 0.000
Se 0.939 0.614 0.815
Se 0.737 0.737 0.186
Se 0.061 0.386 0.185
Se 0.614 0.939 0.815
Se 0.263 0.263 0.814
Se 0.386 0.061 0.185

---

(9)
The following is a DFT calculation (PBE-GGA) of crystalline Cs2MgTcSe at its relaxed geometry.

Calculated values
As for the symmetry: P4/mmm, No. 123. The spin magnetization comes out at 3.9 μB per formula unit. The total energy is -2.814 eV per atom. The energy relative to the elements, uncorrected comes out at 0.616 eV per atom.

Cell lengths 7.073, 5.101, 7.073 Å; angles 90.00, 90.00, 90.00 degrees
Sites, in units of the cell vectors:
Cs 0.000 0.000 0.500
Cs 0.500 0.000 0.000
Mg 0.000 0.500 0.000
Tc 0.500 0.500 0.500
Se 0.000 0.000 0.000

---

(10)
The following is a DFT calculation (PBE-GGA) of crystalline CsMg2TeSe at its relaxed geometry.

Calculated values
As for the symmetry: P4/mmm, No. 123. The spin magnetization comes out at 0.0 μB per formula unit. The total energy is -1.236 eV per atom. The energy relative to the elements, uncorrected comes out at 0.898 eV per atom.

Cell lengths 6.568, 5.627, 6.568 Å; angles 90.00, 90.00, 90.00 degrees
Sites, in units of the cell vectors:
Cs 0.000 0.000 0.000
Mg 0.000 0.000 0.500
Mg 0.500 0.000 0.000
Te 0.500 0.500 0.500
Se 0.000 0.500 0.000

---

(11)
The following is a DFT calculation (PBE-GGA) of crystalline Cs3ThMg2Se6 at its relaxed geometry.

Calculated values
As for the symmetry: C2/m, No. 12. The spin magnetization comes out at 0.0 μB per formula unit. The total energy is -4.084 eV per atom. The energy relative to the elements, uncorrected comes out at -1.244 eV per atom.

Cell lengths 7.293, 7.293, 8.747 Å; angles 98.00, 98.00, 119.97 degrees
Sites, in units of the cell vectors:
Cs 0.166 0.834 0.500
Cs 0.834 0.166 0.500
Cs 0.500 0.500 0.500
Th 0.000 0.000 0.000
Mg 0.333 0.667 0.000
Mg 0.667 0.333 0.000
Se 0.939 0.597 0.818
Se 0.718 0.718 0.182
Se 0.061 0.403 0.182
Se 0.597 0.939 0.818
Se 0.282 0.282 0.818
Se 0.403 0.061 0.182

---

DOS(E_F), record by record: 0.73; 1.85; 0.00; 1.16; 1.21; 0.60; 0.25; 0.94; 0.90; 1.34; 1.45 states/eV per atom
Calculated volume, record by record: 148.9; 176.7; 956.0; 290.5; 330.3; 183.1; 265.7; 400.3; 255.2; 242.8; 387.2 Å³/cell